ErZr2S5, relaxed, DFT PBE-GGA; space group = C2/m, No. 12; total moment = 0.000 μB per atom; formation energy without anion corrections = -1332.2 meV/atom; E_tot = -53.0 eV/cell
1.0
-3.377 -3.392 -1.507
1.827 -6.458 2.018
-5.124 -0.852 5.053
Er Zr S
1 2 5
direct
0.500 0.500 0.500
0.815 0.500 0.871
0.185 0.500 0.129
0.212 0.739 0.836
0.549 0.739 0.164
0.000 0.500 0.500
0.788 0.261 0.164
0.451 0.261 0.836